Below is a relaxed Ce3Dy4Se8 crystal, with properties calculated at the GGA-PBE level.

Calculated values
Fermi-level density of states	40.3	states/eV/cell
ΔE_f (raw)	-1.83	eV per atom

```
data_Ce3Dy4Se8
_cell_length_a 11.663
_cell_length_b 11.678
_cell_length_c 8.224
_cell_angle_alpha 90.00
_cell_angle_beta 134.76
_cell_angle_gamma 90.00
_symmetry_space_group_name_H-M 'C 1 2/m 1'
_symmetry_Int_Tables_number 12
loop_
_symmetry_equiv_pos_as_xyz
'x,y,z'
'-x,-y,-z'
'-x,y,-z'
'x,-y,z'
'x+1/2,y+1/2,z'
'-x+1/2,-y+1/2,-z'
'-x+1/2,y+1/2,-z'
'x+1/2,-y+1/2,z'
loop_
_atom_site_label
_atom_site_fract_x
_atom_site_fract_y
_atom_site_fract_z
Ce1 0.000 0.000 0.000
Ce2 0.250 0.250 0.000
Dy1 0.000 0.500 0.000
Dy2 0.000 0.500 0.500
Dy3 0.250 0.250 0.500
Se1 0.000 0.250 0.500
Se2 0.000 0.254 0.000
Se3 0.245 0.500 0.998
Se4 0.247 0.500 0.493
```

Below is a relaxed CeDy4Se5 crystal, with properties calculated at the GGA-PBE level.

Calculated values
Fermi-level density of states	19.2	states/eV/cell
ΔE_f (raw)	-1.77	eV per atom

```
data_CeDy4Se5
_cell_length_a 13.657
_cell_length_b 4.082
_cell_length_c 10.069
_cell_angle_alpha 90.00
_cell_angle_beta 119.73
_cell_angle_gamma 90.00
_symmetry_space_group_name_H-M 'C 1 2/m 1'
_symmetry_Int_Tables_number 12
loop_
_symmetry_equiv_pos_as_xyz
'x,y,z'
'-x,-y,-z'
'-x,y,-z'
'x,-y,z'
'x+1/2,y+1/2,z'
'-x+1/2,-y+1/2,-z'
'-x+1/2,y+1/2,-z'
'x+1/2,-y+1/2,z'
loop_
_atom_site_label
_atom_site_fract_x
_atom_site_fract_y
_atom_site_fract_z
Ce1 0.000 0.000 0.000
Dy1 0.098 0.500 0.396
Dy2 0.203 0.000 0.801
Se1 0.000 0.000 0.500
Se2 0.104 0.500 0.896
Se3 0.204 0.000 0.308
```

Below is a relaxed Ce4DySe5 crystal, with properties calculated at the GGA-PBE level.

Calculated values
Fermi-level density of states	47.7	states/eV/cell
ΔE_f (raw)	-1.80	eV per atom

```
data_Ce4DySe5
_cell_length_a 4.174
_cell_length_b 4.174
_cell_length_c 29.497
_cell_angle_alpha 90.00
_cell_angle_beta 90.00
_cell_angle_gamma 90.00
_symmetry_space_group_name_H-M 'I 4/m m m'
_symmetry_Int_Tables_number 139
_symmetry_space_group_name_Hall '-I 4 2'
loop_
_atom_site_label
_atom_site_fract_x
_atom_site_fract_y
_atom_site_fract_z
Ce1 0.000 0.000 0.100
Ce2 0.000 0.000 0.301
Dy1 0.000 0.000 0.500
Se1 0.000 0.000 0.000
Se2 0.000 0.000 0.200
Se3 0.000 0.000 0.402
```

Below is a relaxed CeDySe3 crystal, with properties calculated at the GGA-PBE level.

Calculated values
Fermi-level density of states	12.1	states/eV/cell
ΔE_f (raw)	-1.81	eV per atom

```
data_CeDySe3
_cell_length_a 4.123
_cell_length_b 7.078
_cell_length_c 9.094
_cell_angle_alpha 90.00
_cell_angle_beta 90.00
_cell_angle_gamma 90.00
_symmetry_space_group_name_H-M 'P m m n'
_symmetry_Int_Tables_number 59
loop_
_symmetry_equiv_pos_as_xyz
'x,y,z'
'-x,-y,-z'
'-x+1/2,-y+1/2,z'
'x+1/2,y+1/2,-z'
'x+1/2,-y,-z'
'-x+1/2,y,z'
'-x,y+1/2,-z'
'x,-y+1/2,z'
loop_
_atom_site_label
_atom_site_fract_x
_atom_site_fract_y
_atom_site_fract_z
Ce1 0.250 0.250 0.154
Dy1 0.250 0.750 0.399
Se1 0.250 0.520 0.667
Se2 0.250 0.750 0.069
```

Below is a relaxed CeDySiSe crystal, with properties calculated at the GGA-PBE level.

Calculated values
Fermi-level density of states	16.1	states/eV/cell
ΔE_f (raw)	-1.26	eV per atom

```
data_CeDySiSe
_cell_length_a 4.1552
_cell_length_b 4.1552
_cell_length_c 20.4514
_cell_angle_alpha 90.00
_cell_angle_beta 90.00
_cell_angle_gamma 120.00
_symmetry_space_group_name_H-M 'R 3 m'
_symmetry_Int_Tables_number 160
_symmetry_space_group_name_Hall 'R 3 -2"'
loop_
_atom_site_label
_atom_site_fract_x
_atom_site_fract_y
_atom_site_fract_z
Ce1 0.0000 0.0000 0.0000
Dy1 0.0000 0.0000 0.4926
Si1 0.0000 0.0000 0.7465
Se1 0.0000 0.0000 0.2437
```

Below is a relaxed Ce2Sm3DySe6 crystal, with properties calculated at the GGA-PBE level.

Calculated values
Fermi-level density of states	29.7	states/eV/cell
ΔE_f (raw)	-1.81	eV per atom

```
data_Ce2Sm3DySe6
_cell_length_a 7.204
_cell_length_b 12.497
_cell_length_c 7.229
_cell_angle_alpha 90.00
_cell_angle_beta 109.51
_cell_angle_gamma 90.00
_symmetry_space_group_name_H-M 'C 1 2/m 1'
_symmetry_Int_Tables_number 12
loop_
_symmetry_equiv_pos_as_xyz
'x,y,z'
'-x,-y,-z'
'-x,y,-z'
'x,-y,z'
'x+1/2,y+1/2,z'
'-x+1/2,-y+1/2,-z'
'-x+1/2,y+1/2,-z'
'x+1/2,-y+1/2,z'
loop_
_atom_site_label
_atom_site_fract_x
_atom_site_fract_y
_atom_site_fract_z
Ce1 0.000 0.166 0.000
Sm1 0.000 0.000 0.500
Sm2 0.000 0.332 0.500
Dy1 0.000 0.500 0.000
Se1 0.244 0.500 0.750
Se2 0.246 0.336 0.248
```

Below is a relaxed CeSm2Dy3Se6 crystal, with properties calculated at the GGA-PBE level.

Calculated values
Fermi-level density of states	21.5	states/eV/cell
ΔE_f (raw)	-1.79	eV per atom

```
data_CeSm2Dy3Se6
_cell_length_a 18.039
_cell_length_b 4.101
_cell_length_c 8.326
_cell_angle_alpha 90.00
_cell_angle_beta 103.96
_cell_angle_gamma 90.00
_symmetry_space_group_name_H-M 'C 1 2/m 1'
_symmetry_Int_Tables_number 12
loop_
_symmetry_equiv_pos_as_xyz
'x,y,z'
'-x,-y,-z'
'-x,y,-z'
'x,-y,z'
'x+1/2,y+1/2,z'
'-x+1/2,-y+1/2,-z'
'-x+1/2,y+1/2,-z'
'x+1/2,-y+1/2,z'
loop_
_atom_site_label
_atom_site_fract_x
_atom_site_fract_y
_atom_site_fract_z
Ce1 0.000 0.000 0.000
Sm1 0.166 0.500 0.331
Dy1 0.000 0.000 0.500
Dy2 0.167 0.500 0.834
Se1 0.002 0.500 0.743
Se2 0.165 0.000 0.588
Se3 0.170 0.000 0.078
```

Below is a relaxed Ce4Sm3DySe8 crystal, with properties calculated at the GGA-PBE level.

Calculated values
Fermi-level density of states	78.1	states/eV/cell
ΔE_f (raw)	-1.82	eV per atom

```
data_Ce4Sm3DySe8
_cell_length_a 8.3362
_cell_length_b 8.3362
_cell_length_c 20.5569
_cell_angle_alpha 90.00
_cell_angle_beta 90.00
_cell_angle_gamma 120.00
_symmetry_space_group_name_H-M 'R -3 m'
_symmetry_Int_Tables_number 166
_symmetry_space_group_name_Hall '-R 3 2"'
loop_
_atom_site_label
_atom_site_fract_x
_atom_site_fract_y
_atom_site_fract_z
Ce1 0.0000 0.0000 0.0000
Ce2 0.0000 0.5000 0.0000
Sm1 0.0000 0.5000 0.5000
Dy1 0.0000 0.0000 0.5000
Se1 0.0000 0.0000 0.2490
Se2 0.0044 0.5022 0.2479
```